Rb3Sc2MnSe6: optimized geometry, PBE-GGA.

Cell lengths 6.8893, 6.8893, 8.2700 Å; angles 98.92, 98.92, 117.90 degrees
Each line ends with the local moment (μB).
Sites, in units of the cell vectors:
Mn: 0.0000 0.0000 0.0000  3.77
Se: 0.3733 0.0558 0.1762  -0.04
Se: 0.0558 0.3733 0.1762  -0.04
Se: 0.2763 0.2763 0.8042  0.04
Se: 0.7237 0.7237 0.1958  0.04
Se: 0.9442 0.6267 0.8238  -0.04
Se: 0.6267 0.9442 0.8238  -0.04
Sc: 0.6622 0.3378 0.0000  0.03
Sc: 0.3378 0.6622 0.0000  0.03
Rb: 0.8286 0.1714 0.5000  0.00
Rb: 0.1714 0.8286 0.5000  0.00
Rb: 0.5000 0.5000 0.5000  0.01

Output
SG: C2/m
Formation energy without anion corrections, kJ/mol of formula units: -1470